The following is a PBE calculation of InCuTe2PtS after structural relaxation, from OQMD via LeMat-Bulk.

abc: 7.2964 7.2964 9.6527
angles: 90.00 90.00 148.15
Last column: nearest neighbours and their distance in Å.
Fractional positions:
Pt 0.0000 0.0000 0.5000  2 S 2.60, 4 Te 2.78
In 0.2654 0.7346 0.2500  2 S 3.07, 6 Te 3.22-3.35, 1 Cu 3.41
In 0.7346 0.2654 0.7500  2 S 3.07, 6 Te 3.22-3.35, 1 Cu 3.41
Te 0.6332 0.3668 0.0490  1 Cu 2.61, 2 Pt 2.78
S 0.0691 0.9309 0.7500  2 Cu 2.28
Pt 0.0000 0.0000 0.0000  2 S 2.60, 4 Te 2.78
Te 0.6332 0.3668 0.4510  1 Cu 2.61, 2 Pt 2.78
Te 0.3668 0.6332 0.9510  1 Cu 2.61, 2 Pt 2.78
Te 0.3668 0.6332 0.5490  1 Cu 2.61, 2 Pt 2.78
Cu 0.4915 0.5085 0.7500  2 S 2.28
S 0.9309 0.0691 0.2500  2 Cu 2.28
Cu 0.5085 0.4915 0.2500  2 S 2.28

Properties
size of the total moment = 0.00 μB per atom
uncorrected energy = -3.95 eV per atom